[1]
The following is a PBE-GGA calculation of a geometry-optimized KY2Pt structure, from Alexandria.

Structure (POSCAR):
```
KY2Pt
1.0
3.946 0.000 0.000
0.000 3.946 0.000
0.000 0.000 9.220
K Y Pt
1 2 1
Direct
0.000 0.000 0.000
0.000 0.000 0.392
0.500 0.500 0.639
0.500 0.500 0.338
```

Summary:
crystal system: tetragonal
E_form: -1.351 eV per formula unit
distance to the lowest polymorph of the same formula: 150 meV/atom
space-group type: P4mm, No. 99

[2]
The following is a PBE-GGA calculation of a geometry-optimized K2YPt structure, from Alexandria.

Structure (POSCAR):
```
K2YPt
1.0
1.700 0.981 12.417
-1.700 0.981 12.417
0.000 -1.962 12.417
K Y Pt
2 1 1
Direct
0.234 0.234 0.234
0.766 0.766 0.766
0.000 0.000 0.000
0.500 0.500 0.500
```

Summary:
crystal system: trigonal
E_form: 1.791 eV per formula unit
distance to the lowest polymorph of the same formula: 768 meV/atom
space-group type: R-3m, No. 166

[3]
The following is a PBE-GGA calculation of a geometry-optimized KY2Pt structure, from Alexandria.

Structure (POSCAR):
```
KY2Pt
1.0
3.564 0.000 0.000
0.000 3.565 0.000
-0.080 0.000 10.478
K Y Pt
1 2 1
Direct
0.000 0.000 0.000
0.496 0.500 0.345
0.504 0.500 0.655
0.000 0.000 0.500
```

Summary:
crystal system: monoclinic
E_form: -1.710 eV per formula unit
distance to the lowest polymorph of the same formula: 61 meV/atom
space-group type: P2/m, No. 10

[4]
The following is a PBE-GGA calculation of a geometry-optimized KYPt2 structure, from Alexandria.

Structure (POSCAR):
```
KYPt2
1.0
3.476 0.000 0.000
0.000 3.476 0.000
0.000 0.000 8.008
K Y Pt
1 1 2
Direct
0.000 0.000 0.000
0.000 0.000 0.500
0.500 0.500 0.302
0.500 0.500 0.698
```

Summary:
crystal system: tetragonal
E_form: -2.674 eV per formula unit
space-group type: P4/mmm, No. 123

| no. | final energy (eV/cell) |
| --- | --- |
| 1 | -21.4 |
| 2 | -12.9 |
| 3 | -21.8 |
| 4 | -22.3 |